# 1
{"formula": "SbOs4", "functional": "PBE", "state": "relaxed", "cell": [[-2.900, 2.900, 2.900], [2.900, -2.900, 2.900], [2.900, 2.900, -2.900]], "species": ["Sb", "Os", "Os", "Os", "Os"], "frac_coords": [[0.000, 0.000, 0.000], [0.000, 0.000, 0.500], [0.000, 0.500, 0.000], [0.500, 0.000, 0.000], [0.500, 0.500, 0.500]], "magmom_total_mub_per_atom": 0.1287, "dft_energy_ev_per_atom": -7.761, "dos_at_fermi_per_ev_atom": 1.98, "e_form_raw_ev_per_atom": 2.05}

=====

# 2
{"formula": "Be2TeIr", "functional": "PBE", "state": "relaxed", "cell": [[3.855, -1.900, 0.000], [3.855, 1.900, 0.000], [-0.006, 0.000, 4.315]], "species": ["Be", "Be", "Te", "Ir"], "frac_coords": [[0.189, 0.189, 0.001], [0.811, 0.811, 0.999], [0.000, 0.000, 0.500], [0.500, 0.500, 0.000]], "magmom_total_mub_per_atom": 0.0000, "dft_energy_ev_per_atom": -4.825, "dos_at_fermi_per_ev_atom": 0.42, "e_form_raw_ev_per_atom": 0.04}

=====

# 3
{"formula": "LiHf2Mg4", "functional": "PBE", "state": "relaxed", "cell": [[2.318, -6.612, 0.000], [2.318, 6.612, 0.000], [0.000, 0.000, 4.751]], "species": ["Li", "Hf", "Hf", "Mg", "Mg", "Mg", "Mg"], "frac_coords": [[0.000, 0.000, 0.000], [0.338, 0.662, 0.500], [0.662, 0.338, 0.500], [0.000, 0.000, 0.500], [0.187, 0.813, 0.000], [0.500, 0.500, 0.000], [0.813, 0.187, 0.000]], "magmom_total_mub_per_atom": 0.0000, "delta_e_f_ev_per_atom": 0.339, "dft_energy_ev_per_atom": -3.689, "dos_at_fermi_per_ev_atom": 0.74}

=====

# 4
{"formula": "LiTaBi2", "functional": "PBE", "state": "relaxed", "cell": [[0.000, 3.589, 3.589], [3.589, 0.000, 3.589], [3.589, 3.589, 0.000]], "species": ["Li", "Ta", "Bi", "Bi"], "frac_coords": [[0.000, 0.000, 0.000], [0.500, 0.500, 0.500], [0.250, 0.250, 0.250], [0.750, 0.750, 0.750]], "magmom_total_mub_per_atom": 0.3195, "delta_e_f_ev_per_atom": 0.307, "dft_energy_ev_per_atom": -5.075, "dos_at_fermi_per_ev_atom": 0.86}

=====

# 5
{"formula": "Ba3AsP", "functional": "PBE", "state": "relaxed", "cell": [[6.067, 0.000, 0.000], [0.000, 6.067, 0.000], [0.000, 0.000, 6.067]], "species": ["Ba", "Ba", "Ba", "As", "P"], "frac_coords": [[0.000, 0.000, 0.500], [0.000, 0.500, 0.000], [0.500, 0.000, 0.000], [0.500, 0.500, 0.500], [0.000, 0.000, 0.000]], "magmom_total_mub_per_atom": 0.0000, "delta_e_f_ev_per_atom": -0.684, "dft_energy_ev_per_atom": -3.850, "dos_at_fermi_per_ev_atom": 0.00}

=====

# 6
{"formula": "TcTeAu2", "functional": "PBE", "state": "relaxed", "cell": [[1.498, 0.865, 10.191], [-1.498, 0.865, 10.191], [0.000, -1.730, 10.191]], "species": ["Tc", "Te", "Au", "Au"], "frac_coords": [[0.000, 0.000, 0.000], [0.500, 0.500, 0.500], [0.261, 0.261, 0.261], [0.739, 0.739, 0.739]], "magmom_total_mub_per_atom": 0.0111, "dft_energy_ev_per_atom": -4.486, "dos_at_fermi_per_ev_atom": 1.43, "e_form_raw_ev_per_atom": 0.53}

=====

# 7
{"formula": "CaLa2Br", "functional": "PBE", "state": "relaxed", "cell": [[3.725, 0.000, 0.000], [0.000, 5.800, 0.000], [0.000, 0.000, 6.323]], "species": ["Ca", "La", "La", "Br"], "frac_coords": [[0.000, 0.000, 0.000], [0.000, 0.500, 0.500], [0.500, 0.000, 0.500], [0.500, 0.500, 0.000]], "magmom_total_mub_per_atom": 0.0028, "dft_energy_ev_per_atom": -3.716, "dos_at_fermi_per_ev_atom": 1.35, "e_form_raw_ev_per_atom": -0.33}

=====

# 8
{"formula": "Dy6Y2Pu", "functional": "PBE", "state": "relaxed", "cell": [[6.353, 0.000, 0.000], [0.000, 8.204, 0.000], [-6.274, 0.000, 11.002]], "species": ["Dy", "Dy", "Dy", "Dy", "Dy", "Dy", "Dy", "Dy", "Dy", "Dy", "Dy", "Dy", "Y", "Y", "Y", "Y", "Pu", "Pu"], "frac_coords": [[0.013, 0.108, 0.248], [0.013, 0.392, 0.748], [0.138, 0.147, 0.996], [0.138, 0.353, 0.496], [0.399, 0.686, 0.995], [0.399, 0.814, 0.495], [0.601, 0.186, 0.505], [0.601, 0.314, 0.005], [0.862, 0.647, 0.504], [0.862, 0.853, 0.004], [0.987, 0.608, 0.252], [0.987, 0.892, 0.752], [0.491, 0.607, 0.744], [0.491, 0.893, 0.244], [0.509, 0.107, 0.756], [0.509, 0.393, 0.256], [0.000, 0.000, 0.500], [0.000, 0.500, 0.000]], "magmom_total_mub_per_atom": 0.6887, "delta_e_f_ev_per_atom": 0.252, "dft_energy_ev_per_atom": -5.845, "dos_at_fermi_per_ev_atom": 1.68}